4
Lattice="1.4366 -2.2839 0.0000 1.4366 2.2839 0.0000 0.0000 0.0000 9.0629" Properties=species:S:1:pos:R:3 comment="PBE CuRe2Pt, relaxed" ef_kj_per_mol_fu=79 e_above_lowest_polymorph_mev_per_atom=181 spacegroup="Cmm2, No. 35" pbc="T T T"
Cu 0.0000 0.0000 0.0000
Re 0.0000 0.0000 4.4414
Re 1.4366 0.0000 2.2347
Pt 1.4366 0.0000 6.8505